VASP calculation (PBE) on an optimized crystal structure of K4Gd4B3.

abc: 3.291 8.156 13.979
angles: 83.44 83.43 80.32
Fractional positions:
K (0.067, 0.149, 0.115)
K (0.230, 0.159, 0.618)
K (0.770, 0.841, 0.382)
K (0.933, 0.851, 0.885)
Gd (0.103, 0.400, 0.878)
Gd (0.372, 0.379, 0.358)
Gd (0.628, 0.621, 0.642)
Gd (0.897, 0.600, 0.122)
B (0.235, 0.518, 0.517)
B (0.500, 0.500, 0.000)
B (0.765, 0.482, 0.483)

Computed properties:
E (eV/atom): -3.623
Size of the total moment (μB/cell): 0.510
Symmetry: P-1 (2)